Model w:
A relaxed structure of PuFeTc2, computed with PBE.

Lattice parameters (Å, degrees): 2.817 2.817 9.498 81.47 81.47 60.00
Fractional positions:
Tc 0.095 0.095 0.716
Tc 0.905 0.905 0.284
Fe 0.500 0.500 0.500
Pu 0.000 0.000 0.000

=====

Model x:
A relaxed structure of PuFeTc2, computed with PBE.

Lattice parameters (Å, degrees): 2.690 2.690 8.456 90.00 90.00 90.00
Fractional positions:
Tc 0.000 0.000 0.207
Tc 0.000 0.000 0.793
Pu 0.500 0.500 0.500
Fe 0.500 0.500 0.000

=====

Model y:
A relaxed structure of PuFeTc2, computed with PBE.

Lattice parameters (Å, degrees): 4.481 4.481 4.481 60.00 60.00 60.00
Fractional positions:
Tc 0.750 0.750 0.750
Tc 0.250 0.250 0.250
Pu 0.000 0.000 0.000
Fe 0.500 0.500 0.500

=====

Model z:
A relaxed structure of PuFeTc2, computed with PBE.

Lattice parameters (Å, degrees): 3.222 4.449 4.449 90.00 90.00 90.00
Fractional positions:
Fe 0.500 0.500 0.500
Tc 0.000 0.000 0.500
Tc 0.000 0.500 0.000
Pu 0.500 0.000 0.000

=====

Relative stability in meV per atom, measured from the most stable structure: model w 333; model x 104; model y 0; model z 34

=====

Model w:
A relaxed structure of PuThFe, computed with PBE.

Lattice parameters (Å, degrees): 4.498 4.188 4.188 120.00 90.00 90.00
Fractional positions:
Pu 0.167 0.000 0.000
Fe 0.167 0.667 0.333
Th 0.667 0.333 0.667

=====

Model x:
A relaxed structure of PuThFe, computed with PBE.

Lattice parameters (Å, degrees): 3.540 3.540 5.831 107.67 107.67 90.00
Fractional positions:
Th 0.009 0.009 0.017
Pu 0.307 0.307 0.613
Fe 0.685 0.685 0.369

=====

Relative stability in meV per atom, measured from the most stable structure: model w 0; model x 22

=====

Model w:
A relaxed structure of Tm2PuFe, computed with PBE.

Lattice parameters (Å, degrees): 3.352 3.352 10.602 80.91 80.91 60.00
Fractional positions:
Pu 0.000 0.000 0.000
Tm 0.106 0.106 0.681
Tm 0.894 0.894 0.319
Fe 0.500 0.500 0.500

=====

Model x:
A relaxed structure of Tm2PuFe, computed with PBE.

Lattice parameters (Å, degrees): 6.055 6.819 9.266 90.00 90.00 90.00
Fractional positions:
Pu 0.335 0.445 0.750
Pu 0.165 0.945 0.750
Pu 0.835 0.055 0.250
Pu 0.665 0.555 0.250
Tm 0.177 0.670 0.067
Tm 0.323 0.170 0.433
Tm 0.177 0.670 0.433
Tm 0.323 0.170 0.067
Tm 0.823 0.330 0.933
Tm 0.677 0.830 0.567
Tm 0.823 0.330 0.567
Tm 0.677 0.830 0.933
Fe 0.004 0.638 0.750
Fe 0.996 0.362 0.250
Fe 0.504 0.862 0.250
Fe 0.496 0.138 0.750

=====

Model y:
A relaxed structure of Tm2PuFe, computed with PBE.

Lattice parameters (Å, degrees): 3.289 3.289 8.671 90.00 90.00 90.00
Fractional positions:
Tm 0.000 0.000 0.184
Tm 0.000 0.000 0.816
Fe 0.500 0.500 0.000
Pu 0.500 0.500 0.500

=====

Relative stability in meV per atom, measured from the most stable structure: model w 479; model x 0; model y 179

=====

Model w:
A relaxed structure of Pu2VFe, computed with PBE.

Lattice parameters (Å, degrees): 4.699 4.699 4.699 60.00 60.00 60.00
Fractional positions:
Pu 0.750 0.750 0.750
Pu 0.250 0.250 0.250
V 0.000 0.000 0.000
Fe 0.500 0.500 0.500

=====

Model x:
A relaxed structure of Pu2VFe, computed with PBE.

Lattice parameters (Å, degrees): 5.028 3.469 3.469 90.00 90.00 90.00
Fractional positions:
Pu 0.000 0.500 0.000
Pu 0.000 0.000 0.500
V 0.500 0.500 0.500
Fe 0.500 0.000 0.000

=====

Model y:
A relaxed structure of Pu2VFe, computed with PBE.

Lattice parameters (Å, degrees): 3.410 3.410 6.400 90.00 90.00 90.00
Fractional positions:
V 0.500 0.500 0.500
Pu 0.000 0.000 0.762
Pu 0.000 0.000 0.238
Fe 0.500 0.500 0.000

=====

Model z:
A relaxed structure of Pu2VFe, computed with PBE.

Lattice parameters (Å, degrees): 2.694 2.694 10.271 82.46 82.46 60.00
Fractional positions:
Pu 0.916 0.916 0.253
Pu 0.084 0.084 0.747
V 0.000 0.000 0.000
Fe 0.500 0.500 0.500

=====

Relative stability in meV per atom, measured from the most stable structure: model w 33; model x 162; model y 0; model z 356